Na4Ti3NiS8 | PBE-GGA | relaxed

Properties
- Fermi-level density of states: 8.291 states/eV/f.u.
- Symmetry: R-3m
- E: -5.395 eV per atom

Cell: 7.7993 7.7993 7.7993 Å, 54.42 54.42 54.42°
With the nearest neighbours (Å) after each atom.
Fractional coordinates of all 16 atoms:
Na 0.0000 0.0000 0.0000  6 S 2.85
Na 0.0000 0.5000 0.5000  6 S 2.81-2.84
Na 0.5000 0.0000 0.5000  6 S 2.81-2.84
Na 0.5000 0.5000 0.0000  6 S 2.81-2.84
Ti 0.0000 0.0000 0.5000  6 S 2.47-2.49
Ti 0.0000 0.5000 0.0000  6 S 2.47-2.49
Ti 0.5000 0.0000 0.0000  6 S 2.47-2.49
Ni 0.5000 0.5000 0.5000  6 S 2.46
S 0.2373 0.2373 0.2373  3 Ti 2.49
S 0.2365 0.7340 0.7340  1 Ni 2.46, 2 Ti 2.47
S 0.2660 0.2660 0.7635  1 Ni 2.46, 2 Ti 2.47
S 0.2660 0.7635 0.2660  1 Ni 2.46, 2 Ti 2.47
S 0.7340 0.2365 0.7340  1 Ni 2.46, 2 Ti 2.47
S 0.7340 0.7340 0.2365  1 Ni 2.46, 2 Ti 2.47
S 0.7635 0.2660 0.2660  1 Ni 2.46, 2 Ti 2.47
S 0.7627 0.7627 0.7627  3 Ti 2.49